1.
# Li2In3Pd2

Li2In3Pd2 after structural relaxation (PBE, Alexandria).

Cell and atoms, written as CIF:
```
data_Li2In3Pd2
_symmetry_space_group_name_H-M 'P 1'
_symmetry_Int_Tables_number 1
_cell_length_a 4.582
_cell_length_b 4.588
_cell_length_c 8.129
_cell_angle_alpha 89.61
_cell_angle_beta 73.76
_cell_angle_gamma 60.50
loop_
_symmetry_equiv_pos_as_xyz
'x,y,z'
loop_
_atom_site_label
_atom_site_type_symbol
_atom_site_fract_x
_atom_site_fract_y
_atom_site_fract_z
_atom_site_occupancy
Li1 Li 0.249 0.126 0.385 1
Li2 Li 0.751 0.874 0.615 1
In1 In 0.012 0.743 0.238 1
In2 In 0.500 0.000 0.000 1
In3 In 0.988 0.257 0.762 1
Pd1 Pd 0.258 0.622 0.860 1
Pd2 Pd 0.742 0.378 0.140 1
```

Properties
- formation energy (kJ per mole of atoms) = -34.9



2.
# LiIn2Pd

LiIn2Pd after structural relaxation (PBE, Alexandria).

Cell and atoms, written as CIF:
```
data_LiIn2Pd
_symmetry_space_group_name_H-M 'P 1'
_symmetry_Int_Tables_number 1
_cell_length_a 3.425
_cell_length_b 3.425
_cell_length_c 6.309
_cell_angle_alpha 90.00
_cell_angle_beta 90.00
_cell_angle_gamma 90.00
loop_
_symmetry_equiv_pos_as_xyz
'x,y,z'
loop_
_atom_site_label
_atom_site_type_symbol
_atom_site_fract_x
_atom_site_fract_y
_atom_site_fract_z
_atom_site_occupancy
Li1 Li 0.000 0.000 0.000 1
In1 In 0.500 0.500 0.254 1
In2 In 0.500 0.500 0.746 1
Pd1 Pd 0.000 0.000 0.500 1
```

Properties
- formation energy (kJ per mole of atoms) = -39.4
- offset from the most stable computed form (eV per atom) = 0.041



3.
# LiInPd

LiInPd after structural relaxation (PBE, Alexandria).

Cell and atoms, written as CIF:
```
data_LiInPd
_symmetry_space_group_name_H-M 'P 1'
_symmetry_Int_Tables_number 1
_cell_length_a 4.430
_cell_length_b 4.430
_cell_length_c 4.430
_cell_angle_alpha 60.00
_cell_angle_beta 60.00
_cell_angle_gamma 60.00
loop_
_symmetry_equiv_pos_as_xyz
'x,y,z'
loop_
_atom_site_label
_atom_site_type_symbol
_atom_site_fract_x
_atom_site_fract_y
_atom_site_fract_z
_atom_site_occupancy
Li1 Li 0.000 0.000 0.000 1
In1 In 0.500 0.500 0.500 1
Pd1 Pd 0.750 0.750 0.750 1
```

Properties
- formation energy (kJ per mole of atoms) = -34.7



4.
# Li8InPd6

Li8InPd6 after structural relaxation (PBE, Alexandria).

Cell and atoms, written as CIF:
```
data_Li8InPd6
_symmetry_space_group_name_H-M 'P 1'
_symmetry_Int_Tables_number 1
_cell_length_a 6.757
_cell_length_b 6.757
_cell_length_c 6.757
_cell_angle_alpha 69.21
_cell_angle_beta 69.21
_cell_angle_gamma 69.21
loop_
_symmetry_equiv_pos_as_xyz
'x,y,z'
loop_
_atom_site_label
_atom_site_type_symbol
_atom_site_fract_x
_atom_site_fract_y
_atom_site_fract_z
_atom_site_occupancy
Li1 Li 0.050 0.710 0.375 1
Li2 Li 0.176 0.176 0.176 1
Li3 Li 0.290 0.625 0.950 1
Li4 Li 0.375 0.050 0.710 1
Li5 Li 0.625 0.950 0.290 1
Li6 Li 0.710 0.375 0.050 1
Li7 Li 0.824 0.824 0.824 1
Li8 Li 0.950 0.290 0.625 1
In1 In 0.500 0.500 0.500 1
Pd1 Pd 0.120 0.452 0.800 1
Pd2 Pd 0.200 0.880 0.548 1
Pd3 Pd 0.452 0.800 0.120 1
Pd4 Pd 0.548 0.200 0.880 1
Pd5 Pd 0.800 0.120 0.452 1
Pd6 Pd 0.880 0.548 0.200 1
```

Properties
- formation energy (kJ per mole of atoms) = -28.3



5.
# Li5In2Pd5

Li5In2Pd5 after structural relaxation (PBE, Alexandria).

Cell and atoms, written as CIF:
```
data_Li5In2Pd5
_symmetry_space_group_name_H-M 'P 1'
_symmetry_Int_Tables_number 1
_cell_length_a 6.877
_cell_length_b 6.877
_cell_length_c 7.860
_cell_angle_alpha 122.11
_cell_angle_beta 122.11
_cell_angle_gamma 36.59
loop_
_symmetry_equiv_pos_as_xyz
'x,y,z'
loop_
_atom_site_label
_atom_site_type_symbol
_atom_site_fract_x
_atom_site_fract_y
_atom_site_fract_z
_atom_site_occupancy
Li1 Li 0.000 0.000 0.000 1
Li2 Li 0.087 0.087 0.399 1
Li3 Li 0.248 0.248 0.269 1
Li4 Li 0.752 0.752 0.731 1
Li5 Li 0.913 0.913 0.601 1
In1 In 0.162 0.162 0.805 1
In2 In 0.838 0.838 0.195 1
Pd1 Pd 0.327 0.327 0.666 1
Pd2 Pd 0.417 0.417 0.082 1
Pd3 Pd 0.500 0.500 0.500 1
Pd4 Pd 0.583 0.583 0.918 1
Pd5 Pd 0.673 0.673 0.334 1
```

Properties
- formation energy (kJ per mole of atoms) = -42.6



6.
# LiIn4Pd4

LiIn4Pd4 after structural relaxation (PBE, Alexandria).

Cell and atoms, written as CIF:
```
data_LiIn4Pd4
_symmetry_space_group_name_H-M 'P 1'
_symmetry_Int_Tables_number 1
_cell_length_a 8.169
_cell_length_b 8.169
_cell_length_c 5.473
_cell_angle_alpha 90.00
_cell_angle_beta 90.00
_cell_angle_gamma 90.00
loop_
_symmetry_equiv_pos_as_xyz
'x,y,z'
loop_
_atom_site_label
_atom_site_type_symbol
_atom_site_fract_x
_atom_site_fract_y
_atom_site_fract_z
_atom_site_occupancy
Li1 Li 0.250 0.250 0.250 1
Li2 Li 0.750 0.750 0.750 1
In1 In 0.054 0.670 0.151 1
In2 In 0.170 0.946 0.651 1
In3 In 0.330 0.554 0.651 1
In4 In 0.446 0.830 0.151 1
In5 In 0.554 0.170 0.849 1
In6 In 0.670 0.446 0.349 1
In7 In 0.830 0.054 0.349 1
In8 In 0.946 0.330 0.849 1
Pd1 Pd 0.009 0.633 0.657 1
Pd2 Pd 0.133 0.991 0.157 1
Pd3 Pd 0.367 0.509 0.157 1
Pd4 Pd 0.491 0.867 0.657 1
Pd5 Pd 0.509 0.133 0.343 1
Pd6 Pd 0.633 0.491 0.843 1
Pd7 Pd 0.867 0.009 0.843 1
Pd8 Pd 0.991 0.367 0.343 1
```

Properties
- formation energy (kJ per mole of atoms) = -27.7



What did the fourth record say?
# Li8InPd6

Li8InPd6 after structural relaxation (PBE, Alexandria).

Cell and atoms, written as CIF:
```
data_Li8InPd6
_symmetry_space_group_name_H-M 'P 1'
_symmetry_Int_Tables_number 1
_cell_length_a 6.757
_cell_length_b 6.757
_cell_length_c 6.757
_cell_angle_alpha 69.21
_cell_angle_beta 69.21
_cell_angle_gamma 69.21
loop_
_symmetry_equiv_pos_as_xyz
'x,y,z'
loop_
_atom_site_label
_atom_site_type_symbol
_atom_site_fract_x
_atom_site_fract_y
_atom_site_fract_z
_atom_site_occupancy
Li1 Li 0.050 0.710 0.375 1
Li2 Li 0.176 0.176 0.176 1
Li3 Li 0.290 0.625 0.950 1
Li4 Li 0.375 0.050 0.710 1
Li5 Li 0.625 0.950 0.290 1
Li6 Li 0.710 0.375 0.050 1
Li7 Li 0.824 0.824 0.824 1
Li8 Li 0.950 0.290 0.625 1
In1 In 0.500 0.500 0.500 1
Pd1 Pd 0.120 0.452 0.800 1
Pd2 Pd 0.200 0.880 0.548 1
Pd3 Pd 0.452 0.800 0.120 1
Pd4 Pd 0.548 0.200 0.880 1
Pd5 Pd 0.800 0.120 0.452 1
Pd6 Pd 0.880 0.548 0.200 1
```

Properties
- formation energy (kJ per mole of atoms) = -28.3



- Look up the formation energy of the third one.
  -34.7 kJ per mole of atoms



- What is the formation energy in the fourth record?
  -28.3 kJ per mole of atoms



Copy entry 3 word for word.
# LiInPd

LiInPd after structural relaxation (PBE, Alexandria).

Cell and atoms, written as CIF:
```
data_LiInPd
_symmetry_space_group_name_H-M 'P 1'
_symmetry_Int_Tables_number 1
_cell_length_a 4.430
_cell_length_b 4.430
_cell_length_c 4.430
_cell_angle_alpha 60.00
_cell_angle_beta 60.00
_cell_angle_gamma 60.00
loop_
_symmetry_equiv_pos_as_xyz
'x,y,z'
loop_
_atom_site_label
_atom_site_type_symbol
_atom_site_fract_x
_atom_site_fract_y
_atom_site_fract_z
_atom_site_occupancy
Li1 Li 0.000 0.000 0.000 1
In1 In 0.500 0.500 0.500 1
Pd1 Pd 0.750 0.750 0.750 1
```

Properties
- formation energy (kJ per mole of atoms) = -34.7